{"formula": "RbCeHo4S8", "functional": "PBE", "state": "relaxed", "dos_at_fermi_per_ev_cell": 8.18, "cell": [[-2.761, -5.434, 5.516], [4.999, -2.751, 5.918], [-1.258, 2.452, 7.912]], "species": ["S", "S", "S", "S", "S", "S", "S", "S", "Rb", "Ce", "Ho", "Ho", "Ho", "Ho"], "fractional_positions": [[0.237, 0.237, 0.720], [0.806, 0.237, 0.720], [0.232, 0.752, 0.264], [0.752, 0.232, 0.264], [0.230, 0.230, 0.310], [0.757, 0.757, 0.729], [0.752, 0.752, 0.264], [0.237, 0.806, 0.720], [0.371, 0.371, 0.886], [0.004, 0.004, 0.987], [0.626, 0.626, 0.123], [0.487, 0.005, 0.503], [0.005, 0.487, 0.503], [0.005, 0.005, 0.503]]}



{"formula": "CsNdI3", "functional": "PBE", "state": "relaxed", "de_polymorph_mev_per_atom": 0, "dos_at_fermi_per_ev_cell": 4.67, "cell": [[-2.868, 0.933, 6.400], [-7.811, -2.794, -3.093], [5.741, -5.808, 3.420]], "species": ["I", "I", "I", "I", "I", "I", "Nd", "Nd", "Cs", "Cs"], "fractional_positions": [[0.750, 0.174, 0.826], [0.250, 0.826, 0.651], [0.750, 0.651, 0.826], [0.750, 0.174, 0.349], [0.250, 0.826, 0.174], [0.250, 0.349, 0.174], [0.500, 0.000, 0.000], [0.000, 0.000, 0.000], [0.250, 0.333, 0.667], [0.750, 0.667, 0.333]]}



{"formula": "H5Pd4Pt", "functional": "PBE", "state": "relaxed", "dos_at_fermi_per_ev_cell": 3.01, "cell": [[4.079, 0.000, 0.000], [2.040, 4.711, 0.000], [2.040, 0.000, 4.711]], "species": ["H", "H", "H", "H", "H", "Pd", "Pd", "Pd", "Pd", "Pt"], "fractional_positions": [[0.463, 0.000, 0.000], [0.937, 0.334, 0.774], [0.045, 0.666, 0.226], [0.711, 0.226, 0.334], [0.271, 0.774, 0.666], [0.614, 0.601, 0.203], [0.419, 0.399, 0.797], [0.817, 0.797, 0.601], [0.215, 0.203, 0.399], [0.016, 0.000, 0.000]]}



no.,DFT total energy (Ha/atom)
1,-0.2217
2,-0.1268
3,-0.1616